## SrMnP2 (PBE)

Data for a relaxed SrMnP2 crystal. Values from VASP.

Energy of formation = -0.16 eV per atom
Energy above the most stable polymorph in this dataset = 441.3 meV per atom
Size of the total moment = 2.96 μB/f.u.

Quantum ESPRESSO input file:
```
&SYSTEM
  ibrav = 0, nat = 4, ntyp = 3
/
ATOMIC_SPECIES
Sr 87.62 Sr.upf
Mn 54.94 Mn.upf
P 30.97 P.upf
CELL_PARAMETERS angstrom
3.616 0.000 0.000
0.000 3.616 0.000
0.000 0.000 6.920
ATOMIC_POSITIONS angstrom
Sr 0.000 0.000 0.000
Mn 1.808 1.808 3.311
P 0.000 0.000 3.061
P 1.808 1.808 5.519
```

## SrMn2P (PBE)

Data for a relaxed SrMn2P crystal. Values from VASP.

Energy of formation = 0.29 eV per atom
Size of the total moment = 6.34 μB/f.u.

Quantum ESPRESSO input file:
```
&SYSTEM
  ibrav = 0, nat = 4, ntyp = 3
/
ATOMIC_SPECIES
Sr 87.62 Sr.upf
Mn 54.94 Mn.upf
P 30.97 P.upf
CELL_PARAMETERS angstrom
2.243 -2.252 0.000
2.243 2.252 0.000
0.000 0.000 7.457
ATOMIC_POSITIONS angstrom
Sr 0.000 0.000 0.000
Mn 2.243 0.000 2.506
Mn 2.243 0.000 4.951
P 0.000 0.000 3.729
```

## SrMn3P (PBE)

Data for a relaxed SrMn3P crystal. Values from VASP.

Energy of formation = 2.22 eV per atom
Energy above the most stable polymorph in this dataset = 2033.7 meV per atom
Size of the total moment = 11.32 μB/f.u.

Quantum ESPRESSO input file:
```
&SYSTEM
  ibrav = 0, nat = 5, ntyp = 3
/
ATOMIC_SPECIES
Sr 87.62 Sr.upf
Mn 54.94 Mn.upf
P 30.97 P.upf
CELL_PARAMETERS angstrom
4.981 0.000 0.000
0.000 4.981 0.000
0.000 0.000 4.981
ATOMIC_POSITIONS angstrom
Sr 0.000 0.000 0.000
Mn 0.000 0.000 2.490
Mn 0.000 2.490 0.000
Mn 2.490 0.000 0.000
P 2.490 2.490 2.490
```

## SrMnP4 (PBE)

Data for a relaxed SrMnP4 crystal. Values from VASP.

Energy of formation = 0.21 eV per atom
Size of the total moment = 4.02 μB/f.u.

Quantum ESPRESSO input file:
```
&SYSTEM
  ibrav = 0, nat = 6, ntyp = 3
/
ATOMIC_SPECIES
Sr 87.62 Sr.upf
Mn 54.94 Mn.upf
P 30.97 P.upf
CELL_PARAMETERS angstrom
0.000 3.825 3.825
3.825 0.000 3.825
3.825 3.825 0.000
ATOMIC_POSITIONS angstrom
Sr 0.000 0.000 0.000
Mn 5.737 5.737 5.737
P 2.964 2.964 2.964
P 4.685 4.685 2.964
P 4.685 2.964 4.685
P 2.964 4.685 4.685
```

Question: Among the records above, which one has the lowest size of the total moment?
Answer: SrMnP2

Question: Among the records above, which one has the highest energy of formation?
Answer: SrMn3P

Question: Look up the energy of formation of the fourth one.
Answer: 0.21 eV per atom